Entry 1:
Below is SrNd2AgS4 after structural relaxation, with properties calculated at the PBE level.

- V: 24.68 A^3/atom
- Total magnetic moment: 0.00 μB per formula unit
- Total energy: -5.500 eV per atom
- Raw formation energy: -1678 meV/atom

abc: 4.069 7.134 14.193
angles: 90.00 90.00 106.57
Element x y z (fractional)
Sr 0.124 0.248 0.750
Sr 0.876 0.752 0.250
Nd 0.373 0.746 0.560
Nd 0.627 0.254 0.060
Nd 0.627 0.254 0.440
Nd 0.373 0.746 0.940
Ag 0.852 0.703 0.750
Ag 0.148 0.297 0.250
S 0.274 0.549 0.117
S 0.726 0.451 0.617
S 0.726 0.451 0.883
S 0.274 0.549 0.383
S 0.000 0.000 0.500
S 0.000 0.000 0.000
S 0.461 0.923 0.750
S 0.539 0.077 0.250

=====

Entry 2:
Below is BaScV2 after structural relaxation, with properties calculated at the PBE level.

- V: 25.05 A^3/atom
- E above lowest polymorph: 0.00 eV/f.u.
- ΔE_f: 0.9541 eV/atom
- Total magnetic moment: 7.08 μB per formula unit
- Total energy: -5.669 eV per atom

abc: 5.214 5.214 5.214
angles: 60.00 60.00 60.00
Each line ends with the local moment (μB).
Element x y z (fractional)
Sc 0.000 0.000 0.000  0.32
Ba 0.500 0.500 0.500  0.13
V 0.250 0.250 0.250  2.55
V 0.750 0.750 0.750  2.55

=====

Entry 3:
Below is Dy12Pd6Au after structural relaxation, with properties calculated at the PBE level.

- V: 28.53 A^3/atom
- ΔE_f: -0.5167 eV/atom
- Total magnetic moment: 0.00 μB per formula unit
- Total energy: -5.236 eV per atom

abc: 8.362 8.362 8.362
angles: 101.70 101.70 101.70
Element x y z (fractional)
Dy 0.827 0.586 0.433
Dy 0.433 0.827 0.586
Dy 0.586 0.433 0.827
Dy 0.173 0.414 0.567
Dy 0.567 0.173 0.414
Dy 0.414 0.567 0.173
Dy 0.076 0.942 0.327
Dy 0.058 0.673 0.924
Dy 0.673 0.924 0.058
Dy 0.924 0.058 0.673
Dy 0.942 0.327 0.076
Dy 0.327 0.076 0.942
Pd 0.685 0.860 0.380
Pd 0.620 0.315 0.140
Pd 0.140 0.620 0.315
Pd 0.315 0.140 0.620
Pd 0.380 0.685 0.860
Pd 0.860 0.380 0.685
Au 0.000 0.000 0.000

=====

Entry 4:
Below is DyY4Sc2 after structural relaxation, with properties calculated at the PBE level.

- V: 30.15 A^3/atom
- E above lowest polymorph: 0.00 eV/f.u.
- ΔE_f: 0.1445 eV/atom
- Total magnetic moment: 0.00 μB per formula unit
- Total energy: -6.016 eV per atom

abc: 5.457 6.829 11.652
angles: 90.00 103.54 90.00
Element x y z (fractional)
Dy 0.075 0.750 0.146
Dy 0.925 0.250 0.854
Y 0.645 0.500 0.291
Y 0.927 0.750 0.852
Y 0.073 0.250 0.148
Y 0.645 0.000 0.291
Y 0.784 0.250 0.567
Y 0.355 0.000 0.709
Y 0.355 0.500 0.709
Y 0.216 0.750 0.433
Sc 0.502 0.750 0.001
Sc 0.498 0.250 0.999
Sc 0.214 0.250 0.427
Sc 0.786 0.750 0.573

=====

Entry 5:
Below is BaMn2Ir after structural relaxation, with properties calculated at the PBE level.

- V: 21.30 A^3/atom
- ΔE_f: 0.4102 eV/atom
- Total magnetic moment: 7.89 μB per formula unit
- Total energy: -6.870 eV per atom

abc: 3.336 3.182 8.637
angles: 68.35 90.00 90.00
Each line ends with the local moment (μB).
Element x y z (fractional)
Ba 0.500 0.250 0.250  -0.17
Ir 0.500 0.750 0.750  0.34
Mn 0.000 0.082 0.918  3.73
Mn 0.000 0.418 0.582  3.73

=====

Entry 6:
Below is Na15SnGe8P after structural relaxation, with properties calculated at the PBE level.

- V: 25.47 A^3/atom
- ΔE_f: -0.1954 eV/atom
- Total magnetic moment: 0.00 μB per formula unit
- Total energy: -2.841 eV per atom

abc: 10.897 10.897 11.251
angles: 90.00 90.00 107.63
Element x y z (fractional)
Na 0.283 0.543 0.616
Na 0.064 0.232 0.750
Na 0.232 0.064 0.750
Na 0.717 0.457 0.116
Na 0.988 0.803 0.750
Na 0.750 0.750 0.496
Na 0.457 0.717 0.116
Na 0.942 0.321 0.502
Na 0.250 0.250 0.996
Na 0.321 0.942 0.502
Na 0.058 0.679 0.002
Na 0.012 0.197 0.250
Na 0.750 0.750 0.004
Na 0.197 0.012 0.250
Na 0.430 0.430 0.250
Na 0.679 0.058 0.498
Na 0.679 0.058 0.002
Na 0.058 0.679 0.498
Na 0.803 0.988 0.750
Na 0.543 0.283 0.616
Na 0.457 0.717 0.384
Na 0.543 0.283 0.884
Na 0.936 0.768 0.250
Na 0.321 0.942 0.998
Na 0.717 0.457 0.384
Na 0.250 0.250 0.504
Na 0.768 0.936 0.250
Na 0.942 0.321 0.998
Na 0.283 0.543 0.884
Na 0.570 0.570 0.750
Sn 0.000 0.000 0.500
Sn 0.000 0.000 0.000
Ge 0.013 0.505 0.750
Ge 0.699 0.196 0.250
Ge 0.196 0.699 0.250
Ge 0.516 0.810 0.636
Ge 0.190 0.484 0.364
Ge 0.484 0.190 0.364
Ge 0.987 0.495 0.250
Ge 0.484 0.190 0.136
Ge 0.495 0.987 0.250
Ge 0.810 0.516 0.636
Ge 0.190 0.484 0.136
Ge 0.516 0.810 0.864
Ge 0.804 0.301 0.750
Ge 0.505 0.013 0.750
Ge 0.810 0.516 0.864
Ge 0.301 0.804 0.750
P 0.345 0.345 0.750
P 0.655 0.655 0.250

=====

Entry 7:
Below is Sc2Te after structural relaxation, with properties calculated at the PBE level.

- V: 23.98 A^3/atom
- Total magnetic moment: 0.00 μB per formula unit
- Total energy: -5.967 eV per atom
- Raw formation energy: -699 meV/atom

abc: 5.744 5.744 7.223
angles: 82.61 82.61 37.54
Element x y z (fractional)
Sc 0.960 0.960 0.990
Sc 0.345 0.345 0.348
Sc 0.683 0.683 0.685
Sc 0.619 0.619 0.260
Te 0.982 0.982 0.576
Te 0.245 0.245 0.975

=====

Entry 8:
Below is CuOs2Pt after structural relaxation, with properties calculated at the PBE level.

- V: 14.47 A^3/atom
- E above lowest polymorph: 2.06 eV/f.u.
- ΔE_f: 0.6026 eV/atom
- Total magnetic moment: 0.00 μB per formula unit
- Total energy: -7.546 eV per atom

abc: 4.627 4.627 2.704
angles: 90.00 90.00 90.00
Element x y z (fractional)
Cu 0.000 0.500 0.500
Os 0.000 0.000 0.000
Os 0.500 0.500 0.000
Pt 0.500 0.000 0.500

=====

total magnetic moment of number 6 (Na15SnGe8P)?
0.00 μB per formula unit